The following is a PBE-GGA calculation of a geometry-optimized KCdNF2 structure, from Alexandria.

a = 4.799 Å, b = 4.799 Å, c = 4.978 Å
α = 90.00°, β = 90.00°, γ = 90.00°
Sites, in units of the cell vectors:
K: 0.000 0.000 0.000
Cd: 0.500 0.500 0.500
N: 0.000 0.000 0.500
F: 0.000 0.500 0.000
F: 0.500 0.000 0.000

* spin magnetization: 2.12 μB per formula unit
* space-group type: P4/mmm, No. 123
* ΔE to the lowest computed polymorph: 0.8997 eV/atom
* calculated total energy: -14.46 eV per formula unit
* raw formation energy: -0.077 eV/atom

=====

The following is a PBE-GGA calculation of a geometry-optimized KNa3Cd4F12 structure, from Alexandria.

a = 7.398 Å, b = 7.398 Å, c = 7.398 Å
α = 109.47°, β = 109.47°, γ = 109.47°
Sites, in units of the cell vectors:
K: 0.000 0.000 0.000
Na: 0.000 0.500 0.500
Na: 0.500 0.000 0.500
Na: 0.500 0.500 0.000
Cd: 0.000 0.000 0.500
Cd: 0.000 0.500 0.000
Cd: 0.500 0.000 0.000
Cd: 0.500 0.500 0.500
F: 0.122 0.304 0.818
F: 0.182 0.487 0.304
F: 0.182 0.878 0.696
F: 0.304 0.182 0.487
F: 0.304 0.818 0.122
F: 0.487 0.304 0.182
F: 0.513 0.696 0.818
F: 0.696 0.182 0.878
F: 0.696 0.818 0.513
F: 0.818 0.122 0.304
F: 0.818 0.513 0.696
F: 0.878 0.696 0.182

* spin magnetization: 0.00 μB per formula unit
* space-group type: Im-3, No. 204
* calculated total energy: -79.57 eV per formula unit
* raw formation energy: -2.420 eV/atom